No. 1
Compound: Y2AlZnH
Source: the Alexandria database
Functional: PBE
Structure: relaxed

Unit cell a=4.895 b=4.895 c=3.878 alpha=90.00 beta=90.00 gamma=90.00
Fractional positions:
Y1 0.000 0.500 0.000
Y2 0.500 0.000 0.000
H1 0.000 0.000 0.000
Zn1 0.000 0.000 0.500
Al1 0.500 0.500 0.500

Properties
The calculation puts the final energy at -4.600 eV per atom. The spin magnetization is 0.00 μB per formula unit. The space-group type is P4/mmm, No. 123. For the calculated density, the calculation gives 4.8 g/cm³.



No. 2
Compound: CePmTmMg
Source: the Alexandria database
Functional: PBE
Structure: relaxed

Unit cell a=5.525 b=5.525 c=5.525 alpha=60.00 beta=60.00 gamma=60.00
Each line ends with the local moment (μB).
Fractional positions:
Mg1 0.000 0.000 0.000  -0.01
Tm1 0.250 0.250 0.250  0.20
Ce1 0.750 0.750 0.750  0.86
Pm1 0.500 0.500 0.500  0.26

Properties
The formation enthalpy at 0 K is 0.125 eV/atom. The spin magnetization is 1.70 μB per formula unit. The space-group type is F-43m, No. 216. For the calculated density, the calculation gives 6.7 g/cm³.



No. 3
Compound: YMgAu2
Source: the Alexandria database
Functional: PBE
Structure: relaxed

Unit cell a=3.818 b=3.823 c=6.102 alpha=90.00 beta=90.00 gamma=90.00
Fractional positions:
Au1 0.000 0.000 0.978
Au2 0.500 0.500 0.300
Mg1 0.000 0.000 0.431
Y1 0.500 0.500 0.791

Properties
The formation enthalpy at 0 K is -0.598 eV/atom. The spin magnetization is 0.00 μB per formula unit. The space-group type is P4mm, No. 99. For the calculated density, the calculation gives 9.5 g/cm³.



No. 4
Compound: RbCd3Ir
Source: the Alexandria database
Functional: PBE
Structure: relaxed

Unit cell a=6.759 b=6.759 c=6.759 alpha=90.00 beta=90.00 gamma=90.00
Each line ends with the local moment (μB).
Fractional positions:
Ir1 0.500 0.500 0.500  1.98
Rb1 0.000 0.000 0.000  -0.01
Cd1 0.000 0.500 0.000  -0.01
Cd2 0.000 0.000 0.500  0.00
Cd3 0.500 0.000 0.000  -0.01

Properties
The formation enthalpy at 0 K is 1.590 eV/atom. The spin magnetization is 2.01 μB per formula unit. The space-group type is Pm-3m, No. 221. For the calculated density, the calculation gives 3.3 g/cm³. As for the excess energy over the best structure of this formula in the dataset: 8.020 eV/f.u.



> Among the records above, which one has the highest spin magnetization?

RbCd3Ir



> spin magnetization of number 3 (YMgAu2)?

0.00 μB per formula unit